Entry 1:
A plane-wave DFT calculation with PBE+U was carried out for a relaxed CsCoSbF6 crystal. Values from VASP.

Output
Total energy in eV per atom: -4.75
Magnetization in μB per formula unit: 3.01

Structure (Quantum ESPRESSO input):
```
&SYSTEM
  ibrav = 0, nat = 9, ntyp = 4
/
ATOMIC_SPECIES
Cs 132.91 Cs.upf
Co 58.93 Co.upf
Sb 121.76 Sb.upf
F 19.00 F.upf
CELL_PARAMETERS angstrom
-3.601 2.862 -3.241
-2.596 -3.043 -4.093
-4.582 -1.512 3.912
ATOMIC_POSITIONS angstrom
Cs -6.276 -0.189 -7.160
Co -6.445 -0.873 -2.983
Sb -4.450 -0.881 -0.310
F -6.078 1.084 -3.743
F -7.079 -2.675 -2.389
F -6.407 -0.126 -1.053
F -8.284 -0.326 -3.560
F -4.420 -1.068 -2.400
F -3.477 0.957 -0.665
```

---

Entry 2:
A plane-wave DFT calculation with PBE+U was carried out for a relaxed CsScCo2F8 crystal. Values from VASP.

Output
Total energy in eV per atom: -5.49
Magnetization in μB per formula unit: 6.00

Structure (Quantum ESPRESSO input):
```
&SYSTEM
  ibrav = 0, nat = 12, ntyp = 4
/
ATOMIC_SPECIES
Cs 132.91 Cs.upf
Sc 44.96 Sc.upf
Co 58.93 Co.upf
F 19.00 F.upf
CELL_PARAMETERS angstrom
5.521 0.000 0.000
2.760 4.781 0.000
2.760 1.594 8.154
ATOMIC_POSITIONS angstrom
Cs 5.521 3.187 4.077
Sc 0.000 0.000 0.000
Co 2.760 1.594 1.825
Co 8.281 4.781 6.329
F 2.760 1.594 3.684
F 4.599 1.396 1.164
F 8.281 4.781 4.470
F 7.532 3.285 1.164
F 3.509 3.090 6.990
F 4.430 4.881 1.164
F 6.611 1.494 6.990
F 6.442 4.978 6.990
```

---

Entry 3:
A plane-wave DFT calculation with PBE+U was carried out for a relaxed Cs2ScCo3F12 crystal. Values from VASP.

Output
Total energy in eV per atom: -5.24
Magnetization in μB per formula unit: 10.00

Structure (Quantum ESPRESSO input):
```
&SYSTEM
  ibrav = 0, nat = 18, ntyp = 4
/
ATOMIC_SPECIES
Cs 132.91 Cs.upf
Sc 44.96 Sc.upf
Co 58.93 Co.upf
F 19.00 F.upf
CELL_PARAMETERS angstrom
-7.295 -0.870 1.809
-2.290 -5.756 4.344
-2.441 1.166 7.066
ATOMIC_POSITIONS angstrom
Cs -7.429 -3.373 8.165
Cs -4.598 -2.088 5.054
Sc 0.000 0.000 0.000
Co -3.648 -0.435 0.904
Co -1.145 -2.878 2.172
Co -1.221 0.583 3.533
F -5.316 -1.030 8.510
F -9.700 -5.786 7.998
F -6.751 -4.549 11.193
F -8.270 -2.269 5.310
F -9.792 -1.580 9.652
F -5.224 -5.243 6.853
F -6.711 -4.432 4.708
F -2.327 0.325 5.221
F -5.276 -0.912 2.026
F -3.757 -3.192 7.908
F -2.235 -3.881 3.566
F -6.803 -0.218 6.365
```

---

Entry 4:
A plane-wave DFT calculation with PBE+U was carried out for a relaxed Cs2CoSiF6 crystal. Values from VASP.

Output
Total energy in eV per atom: -4.55
Magnetization in μB per formula unit: 3.00

Structure (Quantum ESPRESSO input):
```
&SYSTEM
  ibrav = 0, nat = 10, ntyp = 4
/
ATOMIC_SPECIES
Cs 132.91 Cs.upf
Si 28.09 Si.upf
Co 58.93 Co.upf
F 19.00 F.upf
CELL_PARAMETERS angstrom
-1.293 5.178 -2.702
-0.014 -2.770 -5.302
-5.553 0.248 -3.489
ATOMIC_POSITIONS angstrom
Cs -3.750 3.315 -5.097
Cs -3.110 -0.659 -6.397
Si -0.653 1.204 -4.002
Co 0.000 0.000 0.000
F -3.660 0.617 -3.687
F -3.200 2.038 -7.806
F -0.343 0.632 -2.101
F -0.964 1.776 -5.903
F -0.957 3.091 -3.384
F -0.350 -0.684 -4.619
```

---

Entry 5:
A plane-wave DFT calculation with PBE+U was carried out for a relaxed CsSmCoF6 crystal. Values from VASP.

Output
Total energy in eV per atom: -5.56
Magnetization in μB per formula unit: 3.00

Structure (Quantum ESPRESSO input):
```
&SYSTEM
  ibrav = 0, nat = 18, ntyp = 4
/
ATOMIC_SPECIES
Cs 132.91 Cs.upf
Sm 150.36 Sm.upf
Co 58.93 Co.upf
F 19.00 F.upf
CELL_PARAMETERS angstrom
-5.178 -6.066 -0.242
4.781 -3.907 -4.378
2.427 2.913 6.594
ATOMIC_POSITIONS angstrom
Cs 0.126 -5.424 1.705
Cs 1.904 -1.636 0.268
Sm -1.376 -1.576 3.176
Sm 1.213 1.457 3.297
Co -0.198 -4.986 -2.310
Co -2.589 -3.033 -0.121
F 1.333 -6.276 -2.759
F -2.199 -3.531 4.021
F -2.935 -4.755 0.963
F 1.349 -4.382 -1.085
F -0.987 -2.474 1.054
F -0.599 -6.664 -1.176
F 0.697 -0.784 4.732
F 4.229 -3.528 -2.048
F 4.965 -2.305 1.010
F 0.682 -2.677 3.058
F 3.017 -4.586 0.919
F 2.629 -0.396 3.149
```

---

Entry 6:
A plane-wave DFT calculation with PBE+U was carried out for a relaxed Cs2SmCo3F12 crystal. Values from VASP.

Output
Total energy in eV per atom: -5.15
Magnetization in μB per formula unit: 10.00

Structure (Quantum ESPRESSO input):
```
&SYSTEM
  ibrav = 0, nat = 18, ntyp = 4
/
ATOMIC_SPECIES
Cs 132.91 Cs.upf
Sm 150.36 Sm.upf
Co 58.93 Co.upf
F 19.00 F.upf
CELL_PARAMETERS angstrom
7.679 0.086 0.061
3.867 6.635 0.061
3.867 2.251 6.242
ATOMIC_POSITIONS angstrom
Cs 9.426 5.487 3.892
Cs 5.988 3.485 2.472
Sm 0.000 0.000 0.000
Co 3.840 0.043 0.030
Co 1.934 3.318 0.030
Co 1.934 1.125 3.121
F 7.065 4.113 5.779
F 11.903 6.929 2.342
F 9.792 8.128 5.765
F 9.414 2.779 1.971
F 11.903 4.501 5.765
F 7.065 6.813 1.971
F 8.348 4.859 0.585
F 3.511 2.043 4.022
F 5.622 0.844 0.599
F 6.000 6.193 4.393
F 3.511 4.471 0.599
F 8.348 2.159 4.393
```

---

| no. | N(E_F) (states/eV/atom) |
| --- | --- |
| 1 | 0.000 |
| 2 | 0.000 |
| 3 | 0.565 |
| 4 | 1.417 |
| 5 | 0.000 |
| 6 | 0.527 |